[1]
4
Lattice="2.1051 1.2154 7.9216 -2.1051 1.2154 7.9216 0.0000 -2.4307 7.9216" Properties=species:S:1:pos:R:3 comment="CeErTe2 | Alexandria via LeMat-Bulk | GGA-PBE | relaxed" e_above_lowest_polymorph_ev_per_atom=0.039 mass_density_g_cm3=7.68 spacegroup="No. 160" e_tot_ev_per_cell=-21.85 magnetic_moment_mub_per_fu=1.214 formation_energy_uncorrected_ev_per_atom=-1.267 pbc="T T T"
Ce 0.0000 0.0000 0.0000
Er 0.0000 0.0000 19.6568
Te 0.0000 0.0000 9.9071
Te 0.0000 0.0000 13.7071

[2]
7
Lattice="-2.8943 2.8943 3.6190 2.8943 -2.8943 3.6190 2.8943 2.8943 -3.6190" Properties=species:S:1:pos:R:3 comment="LiZn2Au4 | Alexandria via LeMat-Bulk | GGA-PBE | relaxed" e_above_lowest_polymorph_ev_per_atom=0.000 mass_density_g_cm3=12.67 spacegroup="No. 139" e_tot_ev_per_cell=-19.42 ef_ev_per_atom=-0.265 magnetic_moment_mub_per_fu=0.000 pbc="T T T"
Li 0.0000 0.0000 0.0000
Zn 2.8943 0.0000 0.0000
Zn 0.0000 2.8943 0.0000
Au 1.4472 1.4472 -1.8095
Au 1.4472 -1.4472 1.8095
Au -1.4472 1.4472 1.8095
Au 1.4472 1.4472 1.8095

[3]
8
Lattice="3.5888 0.0000 0.0000 0.0000 4.7361 0.0000 0.0000 0.0000 9.4710" Properties=species:S:1:pos:R:3 comment="Y3HoIr4 | Alexandria via LeMat-Bulk | GGA-PBE | relaxed" mass_density_g_cm3=12.38 spacegroup="No. 47" e_tot_ev_per_cell=-65.82 ef_ev_per_atom=-0.801 magnetic_moment_mub_per_fu=0.000 pbc="T T T"
Y 0.0000 0.0000 0.0000
Y 0.0000 2.3681 2.3728
Y 0.0000 2.3681 7.0983
Ho 0.0000 0.0000 4.7355
Ir 1.7944 0.0000 2.3870
Ir 1.7944 0.0000 7.0840
Ir 1.7944 2.3681 0.0000
Ir 1.7944 2.3681 4.7355